Version a
## TbZrSc2 (PBE)

Data for TbZrSc2 after structural relaxation.

It has space group Fm-3m (No. 225), with a = 7.4120 Å, b = 7.4120 Å, c = 7.4120 Å, α = 90.00°, β = 90.00° and γ = 90.00°. The distinct sites, in fractional coordinates, are Tb at (0.0000, 0.0000, 0.0000), Zr at (0.0000, 0.0000, 0.5000) and Sc at (0.2500, 0.2500, 0.2500).

The size of the total moment is 0.650 μB/f.u. As for the density: 5547 kg/m³.


Version b
## TbZrSc2 (PBE)

Data for TbZrSc2 after structural relaxation.

It has space group P4/mmm (No. 123), with a = 3.7962 Å, b = 3.7962 Å, c = 7.1533 Å, α = 90.00°, β = 90.00° and γ = 90.00°. The distinct sites, in fractional coordinates, are Tb at (0.0000, 0.0000, 0.0000), Zr at (0.0000, 0.0000, 0.5000) and Sc at (0.5000, 0.5000, 0.2799).

The size of the total moment is 0.000 μB/f.u. As for the density: 5478 kg/m³.


Version c
## TbZrSc2 (PBE)

Data for TbZrSc2 after structural relaxation.

It has space group P4/mmm (No. 123), with a = 3.2959 Å, b = 3.2959 Å, c = 9.3971 Å, α = 90.00°, β = 90.00° and γ = 90.00°. The distinct sites, in fractional coordinates, are Tb at (0.0000, 0.0000, 0.0000), Zr at (0.0000, 0.0000, 0.5000) and Sc at (0.5000, 0.5000, 0.2698).

The size of the total moment is 0.000 μB/f.u. As for the density: 5532 kg/m³.


Version d
## TbZrSc2 (PBE)

Data for TbZrSc2 after structural relaxation.

It has space group R3m (No. 160, hexagonal axes), with a = 3.3339 Å, b = 3.3339 Å, c = 32.0148 Å, α = 90.00°, β = 90.00° and γ = 120.00°. The distinct sites, in fractional coordinates, are Tb at (0.0000, 0.0000, 0.0000), Zr at (0.0000, 0.0000, 0.1655), Sc at (0.0000, 0.0000, 0.5774) and Sc at (0.0000, 0.0000, 0.7542).

The size of the total moment is 0.000 μB/f.u. As for the density: 5497 kg/m³.


Winner for stability: version c


Version a
## TbZrSc2 (PBE)

Data for TbZrSc2 after structural relaxation.

It has space group R-3m (No. 166, hexagonal axes), with a = 3.3140 Å, b = 3.3140 Å, c = 32.3025 Å, α = 90.00°, β = 90.00° and γ = 120.00°. The distinct sites, in fractional coordinates, are Tb at (0.0000, 0.0000, 0.0000), Zr at (0.0000, 0.0000, 0.5000) and Sc at (0.0000, 0.0000, 0.2449).

The size of the total moment is 0.000 μB/f.u. As for the density: 5514 kg/m³.


Version b
## TbZrSc2 (PBE)

Data for TbZrSc2 after structural relaxation.

It has space group P4/mmm (No. 123), with a = 4.6894 Å, b = 4.6894 Å, c = 4.6174 Å, α = 90.00°, β = 90.00° and γ = 90.00°. The distinct sites, in fractional coordinates, are Tb at (0.0000, 0.0000, 0.0000), Zr at (0.5000, 0.5000, 0.0000) and Sc at (0.0000, 0.5000, 0.5000).

The size of the total moment is 0.000 μB/f.u. As for the density: 5561 kg/m³.


Winner for stability: version a


Version a
## TbZrSc (PBE)

Data for TbZrSc after structural relaxation.

It has space group P3m1 (No. 156), with a = 3.3282 Å, b = 3.3282 Å, c = 8.1445 Å, α = 90.00°, β = 90.00° and γ = 120.00°. The distinct sites, in fractional coordinates, are Tb at (0.0000, 0.0000, 0.0000), Zr at (0.6667, 0.3333, 0.3316) and Sc at (0.3333, 0.6667, 0.6405).

The size of the total moment is 0.000 μB/f.u. As for the density: 6272 kg/m³.


Version b
## TbZrSc (PBE)

Data for TbZrSc after structural relaxation.

It has space group I4mm (No. 107), with a = 3.3116 Å, b = 3.3116 Å, c = 14.2950 Å, α = 90.00°, β = 90.00° and γ = 90.00°. The distinct sites, in fractional coordinates, are Tb at (0.0000, 0.0000, 0.0000), Zr at (0.0000, 0.0000, 0.3329) and Sc at (0.0000, 0.0000, 0.6834).

The size of the total moment is 0.000 μB/f.u. As for the density: 6252 kg/m³.


Winner for stability: version b


Version a
## TbZrSc (PBE)

Data for TbZrSc after structural relaxation.

It has space group Cmcm (No. 63), with a = 3.2700 Å, b = 18.9219 Å, c = 5.0889 Å, α = 90.00°, β = 90.00° and γ = 90.00°. The distinct sites, in fractional coordinates, are Tb at (0.0000, 0.2028, 0.2500), Zr at (0.0000, 0.0352, 0.2500) and Sc at (0.0000, 0.3905, 0.2500).

The size of the total moment is 0.000 μB/f.u. As for the density: 6225 kg/m³.


Version b
## TbZrSc (PBE)

Data for TbZrSc after structural relaxation.

It has space group Amm2 (No. 38), with a = 4.9781 Å, b = 3.2462 Å, c = 19.2169 Å, α = 90.00°, β = 90.00° and γ = 90.00°. The distinct sites, in fractional coordinates, are Tb at (0.0000, 0.0000, 0.0000), Tb at (0.5000, 0.0000, 0.4117), Zr at (0.0000, 0.0000, 0.1707), Zr at (0.5000, 0.0000, 0.7516), Sc at (0.0000, 0.0000, 0.3223) and Sc at (0.5000, 0.0000, 0.5914).

The size of the total moment is 0.000 μB/f.u. As for the density: 6312 kg/m³.


Winner for stability: version a


Version a
## TbZrSc3 (PBE)

Data for TbZrSc3 after structural relaxation.

It has space group C2/m (No. 12), with a = 16.9048 Å, b = 4.6033 Å, c = 6.6470 Å, α = 90.00°, β = 101.13° and γ = 90.00°. The distinct sites, in fractional coordinates, are Tb at (0.1021, 0.0000, 0.0549), Zr at (0.2047, 0.5000, 0.3661), Sc at (0.0017, 0.5000, 0.2572), Sc at (0.1049, 0.0000, 0.5477) and Sc at (0.2024, 0.5000, 0.8398).

The size of the total moment is 0.000 μB/f.u. As for the density: 5039 kg/m³.


Version b
## TbZrSc3 (PBE)

Data for TbZrSc3 after structural relaxation.

It has space group P2_1/m (No. 11), with a = 7.8712 Å, b = 3.2733 Å, c = 10.2604 Å, α = 90.00°, β = 91.42° and γ = 90.00°. The distinct sites, in fractional coordinates, are Tb at (0.1489, 0.2500, 0.1338), Zr at (0.4938, 0.7500, 0.6257), Sc at (0.1639, 0.2500, 0.7063), Sc at (0.1776, 0.7500, 0.4362) and Sc at (0.3796, 0.7500, 0.9096).

The size of the total moment is 0.000 μB/f.u. As for the density: 4838 kg/m³.


Winner for stability: version a


Version a
## Sc5Tc (PBE)

Data for Sc5Tc after structural relaxation.

It has space group Cmmm (No. 65), with a = 4.6417 Å, b = 11.7257 Å, c = 4.7828 Å, α = 90.00°, β = 90.00° and γ = 90.00°. The distinct sites, in fractional coordinates, are Sc at (0.0000, 0.0000, 0.0000), Sc at (0.0000, 0.1456, 0.5000), Sc at (0.0000, 0.3488, 0.0000) and Tc at (0.0000, 0.5000, 0.5000).

The size of the total moment is 0.000 μB/f.u. As for the density: 4118 kg/m³.


Version b
## Sc5Tc (PBE)

Data for Sc5Tc after structural relaxation.

It has space group Amm2 (No. 38), with a = 4.9220 Å, b = 3.5597 Å, c = 14.9804 Å, α = 90.00°, β = 90.00° and γ = 90.00°. The distinct sites, in fractional coordinates, are Sc at (0.0000, 0.0000, 0.0001), Sc at (0.0000, 0.0000, 0.2790), Sc at (0.5000, 0.0000, 0.1549), Sc at (0.5000, 0.0000, 0.5000), Sc at (0.5000, 0.0000, 0.8314) and Tc at (0.0000, 0.0000, 0.6360).

The size of the total moment is 0.000 μB/f.u. As for the density: 4084 kg/m³.


Winner for stability: version b